# Pr4CuCBr2

A relaxed Pr4CuCBr2 crystal (PBE, the Alexandria database).

Summary:
E_tot, eV/cell: -41.38
Spin magnetization, Bohr magnetons per cell: 0.0
Space-group type: P2/m (10)
E_form (uncorrected), meV per atom: -699

a b c (Å): 3.9636 7.1889 7.7854
angles (deg): 106.79 90.00 90.00
With the nearest neighbours (Å) after each atom.
Positions (direct):
Pr 0.5000 0.2582 0.2003  1 C 2.65, 2 Cu 2.85
C 0.5000 0.5000 0.0000  6 Pr 2.65
Br 0.5000 0.0000 0.5000  6 Pr 3.36-3.37
Br 0.0000 0.5000 0.5000  6 Pr 3.16-3.17
Pr 0.0000 0.7038 0.1904  2 C 2.65, 1 Cu 2.93
Pr 0.0000 0.2962 0.8096  2 C 2.65, 1 Cu 2.93
Pr 0.5000 0.7418 0.7997  1 C 2.65, 2 Cu 2.85
Cu 0.0000 0.0000 0.0000  6 Pr 2.85-2.93